(1)
Computed, not measured: a relaxed structure of Ca5Th3H12 at the PBE-GGA level of DFT.

The structure in CIF format:
```
data_Ca5Th3H12
_chemical_formula_sum 'Ca40 Th24 H96'
_symmetry_space_group_name_H-M 'I a -3 d'
_symmetry_Int_Tables_number 230
_symmetry_space_group_name_Hall '-I 4bd 2c 3'
_cell_length_a 13.471
_cell_length_b 13.471
_cell_length_c 13.471
_cell_angle_alpha 90.00
_cell_angle_beta 90.00
_cell_angle_gamma 90.00
loop_
_atom_site_label
_atom_site_type_symbol
_atom_site_fract_x
_atom_site_fract_y
_atom_site_fract_z
_atom_site_occupancy
Ca1 Ca 0.000 0.000 0.000 1
Ca2 Ca 0.000 0.250 0.375 1
Th1 Th 0.000 0.250 0.125 1
H1 H 0.003 0.074 0.655 1
```

Values from the calculation:
volume = 15.28 Å³ per atom
crystal system = cubic
electronic total energy = -3.9873 eV per atom
DOS at the Fermi energy = 114.91 states/eV/cell



(2)
Computed, not measured: a relaxed structure of KCo3 at the PBE-GGA level of DFT.

The structure in CIF format:
```
data_KCo3
_chemical_formula_sum 'K3 Co9'
_symmetry_space_group_name_H-M 'R -3 m'
_symmetry_Int_Tables_number 166
_symmetry_space_group_name_Hall '-R 3 2"'
_cell_length_a 2.6563
_cell_length_b 2.6563
_cell_length_c 28.6059
_cell_angle_alpha 90.00
_cell_angle_beta 90.00
_cell_angle_gamma 120.00
loop_
_atom_site_label
_atom_site_type_symbol
_atom_site_fract_x
_atom_site_fract_y
_atom_site_fract_z
_atom_site_occupancy
K1 K 0.0000 0.0000 0.0000 1
Co1 Co 0.0000 0.0000 0.2339 1
Co2 Co 0.0000 0.0000 0.5000 1
```

Values from the calculation:
polymorph energy (0 for the lowest one) = 144 meV per atom
volume = 14.57 Å³ per atom
calculated formation energy = 799 meV/atom
crystal system = trigonal
electronic total energy = -4.8051 eV per atom
DOS at the Fermi energy = 11.68 states/eV/cell



(3)
Computed, not measured: a relaxed structure of Mg5Hg4Au2 at the PBE-GGA level of DFT.

The structure in CIF format:
```
data_Mg5Hg4Au2
_chemical_formula_sum 'Mg10 Hg8 Au4'
_symmetry_space_group_name_H-M 'P b a m'
_symmetry_Int_Tables_number 55
_cell_length_a 7.709
_cell_length_b 17.652
_cell_length_c 3.332
_cell_angle_alpha 90.00
_cell_angle_beta 90.00
_cell_angle_gamma 90.00
loop_
_symmetry_equiv_pos_as_xyz
'x,y,z'
'-x,-y,-z'
'-x,-y,z'
'x,y,-z'
'x+1/2,-y+1/2,-z'
'-x+1/2,y+1/2,z'
'-x+1/2,y+1/2,-z'
'x+1/2,-y+1/2,z'
loop_
_atom_site_label
_atom_site_type_symbol
_atom_site_fract_x
_atom_site_fract_y
_atom_site_fract_z
_atom_site_occupancy
Mg1 Mg 0.000 0.000 0.000 1
Mg2 Mg 0.125 0.421 0.000 1
Mg3 Mg 0.242 0.214 0.000 1
Hg1 Hg 0.076 0.857 0.500 1
Hg2 Hg 0.204 0.560 0.500 1
Au1 Au 0.033 0.303 0.500 1
```

Values from the calculation:
volume = 20.61 Å³ per atom
calculated formation energy = -331 meV/atom
crystal system = orthorhombic
electronic total energy = -1.7612 eV per atom
DOS at the Fermi energy = 7.18 states/eV/cell



(4)
Computed, not measured: a relaxed structure of TbPmMgTi at the PBE-GGA level of DFT.

The structure in CIF format:
```
data_TbPmMgTi
_chemical_formula_sum 'Tb4 Pm4 Mg4 Ti4'
_symmetry_space_group_name_H-M 'F -4 3 m'
_symmetry_Int_Tables_number 216
_symmetry_space_group_name_Hall 'F -4 2 3'
_cell_length_a 7.500
_cell_length_b 7.500
_cell_length_c 7.500
_cell_angle_alpha 90.00
_cell_angle_beta 90.00
_cell_angle_gamma 90.00
loop_
_atom_site_label
_atom_site_type_symbol
_atom_site_fract_x
_atom_site_fract_y
_atom_site_fract_z
_atom_site_occupancy
Tb1 Tb 0.000 0.000 0.000 1
Pm1 Pm 0.000 0.000 0.500 1
Mg1 Mg 0.250 0.250 0.250 1
Ti1 Ti 0.250 0.250 0.750 1
```

Values from the calculation:
volume = 26.37 Å³ per atom
calculated formation energy = 143 meV/atom
crystal system = cubic
electronic total energy = -4.5744 eV per atom
DOS at the Fermi energy = 24.68 states/eV/cell



(5)
Computed, not measured: a relaxed structure of LaY2Sc at the PBE-GGA level of DFT.

The structure in CIF format:
```
data_LaY2Sc
_chemical_formula_sum 'La2 Y4 Sc2'
_symmetry_space_group_name_H-M 'I m m 2'
_symmetry_Int_Tables_number 44
_cell_length_a 3.868
_cell_length_b 5.668
_cell_length_c 11.541
_cell_angle_alpha 90.00
_cell_angle_beta 90.00
_cell_angle_gamma 90.00
loop_
_symmetry_equiv_pos_as_xyz
'x,y,z'
'-x,-y,z'
'-x,y,z'
'x,-y,z'
'x+1/2,y+1/2,z+1/2'
'-x+1/2,-y+1/2,z+1/2'
'-x+1/2,y+1/2,z+1/2'
'x+1/2,-y+1/2,z+1/2'
loop_
_atom_site_label
_atom_site_type_symbol
_atom_site_fract_x
_atom_site_fract_y
_atom_site_fract_z
_atom_site_occupancy
La1 La 0.000 0.000 0.000 1
Y1 Y 0.000 0.000 0.456 1
Y2 Y 0.000 0.500 0.221 1
Sc1 Sc 0.000 0.500 0.729 1
```

Values from the calculation:
polymorph energy (0 for the lowest one) = 73 meV per atom
volume = 31.63 Å³ per atom
calculated formation energy = 107 meV/atom
crystal system = orthorhombic
electronic total energy = -5.9395 eV per atom
DOS at the Fermi energy = 14.17 states/eV/cell



(6)
Computed, not measured: a relaxed structure of BaNdCd4 at the PBE-GGA level of DFT.

The structure in CIF format:
```
data_BaNdCd4
_chemical_formula_sum 'Ba4 Nd4 Cd16'
_symmetry_space_group_name_H-M 'F -4 3 m'
_symmetry_Int_Tables_number 216
_symmetry_space_group_name_Hall 'F -4 2 3'
_cell_length_a 8.761
_cell_length_b 8.761
_cell_length_c 8.761
_cell_angle_alpha 90.00
_cell_angle_beta 90.00
_cell_angle_gamma 90.00
loop_
_atom_site_label
_atom_site_type_symbol
_atom_site_fract_x
_atom_site_fract_y
_atom_site_fract_z
_atom_site_occupancy
Ba1 Ba 0.000 0.000 0.000 1
Nd1 Nd 0.250 0.250 0.750 1
Cd1 Cd 0.124 0.124 0.376 1
```

Values from the calculation:
polymorph energy (0 for the lowest one) = 97 meV per atom
volume = 28.02 Å³ per atom
calculated formation energy = -244 meV/atom
crystal system = cubic
electronic total energy = -1.9691 eV per atom
DOS at the Fermi energy = 24.58 states/eV/cell